ZrScBeSi2 | PBE | relaxed

Cell and atoms, written as extended XYZ:
```
5
Lattice="4.738 0.000 0.000 0.000 4.738 0.000 0.000 0.000 4.426" Properties=species:S:1:pos:R:3 pbc="T T T"
Zr 0.000 0.000 0.000
Sc 2.369 2.369 2.213
Be 2.369 2.369 0.000
Si 0.000 2.369 2.213
Si 2.369 0.000 2.213
```

Calculated values
density	3.36	g/cm3
volume	99.4	Å³/cell
DFT total energy	-5.066	eV per atom
SG	P4/mmm (123)
size of the total moment	0.41	μB/cell
formation energy from raw total energies	0.82	eV/atom



SmScBe17 | PBE | relaxed

Cell and atoms, written as extended XYZ:
```
19
Lattice="3.836 2.215 3.725 -3.836 2.215 3.725 0.000 -4.429 3.725" Properties=species:S:1:pos:R:3 pbc="T T T"
Sm 0.000 0.000 0.000
Sc 0.000 0.000 7.565
Be -1.094 -1.861 3.801
Be -2.159 -0.017 3.801
Be -1.885 -1.088 5.732
Be 0.000 0.000 2.756
Be 0.000 -2.202 5.672
Be -1.907 1.101 5.672
Be 1.094 -1.861 3.801
Be -1.064 1.878 3.801
Be 0.000 0.000 4.893
Be -1.922 -1.110 9.295
Be 2.159 -0.017 3.801
Be 1.064 1.878 3.801
Be 1.885 -1.088 5.732
Be 0.000 2.177 5.732
Be 1.907 1.101 5.672
Be 1.922 -1.110 9.295
Be 0.000 2.219 9.295
```

Calculated values
density	3.05	g/cm3
volume	189.8	Å³/cell
DFT total energy	-4.049	eV per atom
SG	R3m (160)
size of the total moment	0.00	μB/cell



SmSc2Be | PBE | relaxed

Cell and atoms, written as extended XYZ:
```
4
Lattice="1.630 0.941 10.918 -1.630 0.941 10.918 0.000 -1.882 10.918" Properties=species:S:1:pos:R:3 pbc="T T T"
Sm 0.000 0.000 0.000
Sc 0.000 0.000 13.661
Sc 0.000 0.000 19.094
Be 0.000 0.000 16.378
```

Calculated values
density	4.12	g/cm3
volume	100.5	Å³/cell
polymorph energy (0 for the lowest one)	667	meV/atom
DFT total energy	-4.580	eV per atom
SG	R-3m (166)
size of the total moment	0.00	μB/cell



Q: Look up the density of the second one.
A: 3.05 g/cm3



Q: The lowest volume belongs to which entry?
A: ZrScBeSi2



Q: Which value of density does entry 3 give?
A: 4.12 g/cm3